The following is a DFT calculation (meta-GGA SCAN) of a PBEsol-optimized structure of Sm3Ge2Ru2.

Values from the calculation:
As for the total energy: -35.212 eV/atom.

a b c (Å): 5.5764 7.7683 13.4601
angles (deg): 90.00 90.00 90.00
Closest atoms and distances in Å follow each position.
Atoms (fractional coordinates):
Sm1 0.1266 0.2358 0.2500  4 Ru 2.99-3.19, 3 Ge 3.00-3.05
Sm2 0.1266 0.2642 0.7500  4 Ru 2.99-3.19, 3 Ge 3.00-3.05
Sm3 0.3499 0.5973 0.0987  4 Ru 2.84-3.10, 3 Ge 3.04-3.17
Sm4 0.3499 0.5973 0.4013  4 Ru 2.84-3.10, 3 Ge 3.04-3.17
Sm5 0.3499 0.9027 0.5987  4 Ru 2.84-3.10, 3 Ge 3.04-3.17
Sm6 0.3499 0.9027 0.9013  4 Ru 2.84-3.10, 3 Ge 3.04-3.17
Sm7 0.6501 0.0973 0.0987  4 Ru 2.84-3.10, 3 Ge 3.04-3.17
Sm8 0.6501 0.0973 0.4013  4 Ru 2.84-3.10, 3 Ge 3.04-3.17
Sm9 0.6501 0.4027 0.5987  4 Ru 2.84-3.10, 3 Ge 3.04-3.17
Sm10 0.6501 0.4027 0.9013  4 Ru 2.84-3.10, 3 Ge 3.04-3.17
Sm11 0.8734 0.7358 0.2500  4 Ru 2.99-3.19, 3 Ge 3.00-3.05
Sm12 0.8734 0.7642 0.7500  4 Ru 2.99-3.19, 3 Ge 3.00-3.05
Ge1 0.1214 0.2500 0.0000  4 Ru 2.51-2.57
Ge2 0.1214 0.2500 0.5000  4 Ru 2.51-2.57
Ge3 0.3687 0.6126 0.7500  2 Ru 2.55
Ge4 0.3687 0.8874 0.2500  2 Ru 2.55
Ge5 0.6313 0.1126 0.7500  2 Ru 2.55
Ge6 0.6313 0.3874 0.2500  2 Ru 2.55
Ge7 0.8786 0.7500 0.0000  4 Ru 2.51-2.57
Ge8 0.8786 0.7500 0.5000  4 Ru 2.51-2.57
Ru1 0.1464 0.5317 0.5909  3 Ge 2.51-2.57
Ru2 0.1464 0.5317 0.9091  3 Ge 2.51-2.57
Ru3 0.1464 0.9683 0.0909  3 Ge 2.51-2.57
Ru4 0.1464 0.9683 0.4091  3 Ge 2.51-2.57
Ru5 0.8536 0.0317 0.5909  3 Ge 2.51-2.57
Ru6 0.8536 0.0317 0.9091  3 Ge 2.51-2.57
Ru7 0.8536 0.4683 0.0909  3 Ge 2.51-2.57
Ru8 0.8536 0.4683 0.4091  3 Ge 2.51-2.57



The following is a DFT calculation (meta-GGA SCAN) of a PBEsol-optimized structure of ScMoAu2.

Values from the calculation:
Its distance to the lowest polymorph of the same formula is 83 meV/atom. As for the total energy: -47.078 eV/atom.

a b c (Å): 4.9472 4.9472 5.0276
angles (deg): 100.73 100.73 34.39
Closest atoms and distances in Å follow each position.
Atoms (fractional coordinates):
Sc1 0.0000 0.0000 0.0000  7 Au 2.77-2.94, 3 Mo 2.92-3.04, 2 Sc 2.93
Mo1 0.7485 0.7485 0.2949  7 Au 2.76-2.97, 3 Sc 2.92-3.04, 2 Mo 2.93
Au1 0.2472 0.2472 0.7813  3 Sc 2.77-2.83, 4 Mo 2.85-2.97, 5 Au 2.92-2.99
Au2 0.4959 0.4959 0.4922  3 Mo 2.76-2.77, 4 Sc 2.88-2.94, 5 Au 2.92-2.99



The following is a DFT calculation (meta-GGA SCAN) of a PBEsol-optimized structure of KAlN2F.

Values from the calculation:
The value obtained for the uncorrected formation energy is 0.76 eV/atom. As for the total energy: -6.877 eV/atom.

a b c (Å): 4.8306 4.8306 3.3887
angles (deg): 90.00 90.00 90.00
Closest atoms and distances in Å follow each position.
Atoms (fractional coordinates):
K1 0.0000 0.0000 0.0000  8 N 2.95
Al1 0.5000 0.5000 0.0000  2 F 1.69
N1 0.0000 0.5000 0.5000  2 F 2.42
N2 0.5000 0.0000 0.5000  2 F 2.42
F1 0.5000 0.5000 0.5000  2 Al 1.69



The following is a DFT calculation (meta-GGA SCAN) of a PBEsol-optimized structure of NiHCl2.

Values from the calculation:
As for the total energy: -9.102 eV/atom.

a b c (Å): 5.9844 5.9844 5.9844
angles (deg): 35.21 35.21 35.21
Closest atoms and distances in Å follow each position.
Atoms (fractional coordinates):
Ni1 0.0000 0.0000 0.0000  6 Cl 2.43
H1 0.5000 0.5000 0.5000  2 Cl 1.57
Cl1 0.4068 0.4068 0.4068  1 H 1.57
Cl2 0.5932 0.5932 0.5932  1 H 1.57



The following is a DFT calculation (meta-GGA SCAN) of a PBEsol-optimized structure of CsAsI2O.

Values from the calculation:
The value obtained for the uncorrected formation energy is 0.68 eV/atom. Its distance to the lowest polymorph of the same formula is 1479 meV/atom. As for the total energy: -26.862 eV/atom.

a b c (Å): 6.7371 6.7371 4.2325
angles (deg): 90.00 90.00 90.00
Closest atoms and distances in Å follow each position.
Atoms (fractional coordinates):
Cs1 0.0000 0.0000 0.0000  2 O 2.12
As1 0.5000 0.5000 0.5000  8 I 3.98, 2 As 4.23
I1 0.0000 0.5000 0.0000  2 Cs 3.37
I2 0.5000 0.0000 0.0000  2 Cs 3.37
O1 0.0000 0.0000 0.5000  2 Cs 2.12



The following is a DFT calculation (meta-GGA SCAN) of a PBEsol-optimized structure of SrMg2Tc.

Values from the calculation:
Its distance to the lowest polymorph of the same formula is 253 meV/atom. As for the total energy: -16.132 eV/atom.

a b c (Å): 6.0054 6.0054 2.9388
angles (deg): 100.41 100.41 119.36
Closest atoms and distances in Å follow each position.
Atoms (fractional coordinates):
Sr1 0.0000 0.0000 0.0000  2 Sr 2.94, 2 Tc 3.03, 4 Mg 3.10
Mg1 0.0000 0.5000 0.5000  4 Mg 2.94-3.03, 2 Tc 3.10, 2 Sr 3.10
Mg2 0.5000 0.0000 0.5000  4 Mg 2.94-3.03, 2 Tc 3.10, 2 Sr 3.10
Tc1 0.5000 0.5000 0.0000  2 Tc 2.94, 2 Sr 3.03, 4 Mg 3.10



The following is a DFT calculation (meta-GGA SCAN) of a PBEsol-optimized structure of Tl2RhAu.

Values from the calculation:
As for the total energy: -61.714 eV/atom.

a b c (Å): 3.2695 3.2692 7.1461
angles (deg): 90.00 90.08 90.00
Closest atoms and distances in Å follow each position.
Atoms (fractional coordinates):
Tl1 0.0000 0.0000 0.2326  4 Rh 2.85, 4 Au 3.00
Tl2 0.0000 0.0000 0.7674  4 Rh 2.85, 4 Au 3.00
Rh1 0.5000 0.5000 0.0000  8 Tl 2.85
Au1 0.5000 0.5000 0.5000  8 Tl 3.00, 4 Au 3.27



The following is a DFT calculation (meta-GGA SCAN) of a PBEsol-optimized structure of LaScTl2.

Values from the calculation:
As for the total energy: -50.984 eV/atom.

a b c (Å): 4.8450 4.8450 4.4657
angles (deg): 90.00 90.00 90.00
Closest atoms and distances in Å follow each position.
Atoms (fractional coordinates):
La1 0.0000 0.0000 0.0000  8 Tl 3.29, 4 Sc 3.43
Sc1 0.5000 0.5000 0.0000  8 Tl 3.29, 4 La 3.43
Tl1 0.0000 0.5000 0.5000  4 Sc 3.29, 4 La 3.29, 4 Tl 3.43
Tl2 0.5000 0.0000 0.5000  4 Sc 3.29, 4 La 3.29, 4 Tl 3.43



The following is a DFT calculation (meta-GGA SCAN) of a PBEsol-optimized structure of LiBe2Ag.

Values from the calculation:
Its distance to the lowest polymorph of the same formula is 0 meV/atom. As for the total energy: -10.593 eV/atom.

a b c (Å): 3.9923 3.9923 3.9923
angles (deg): 60.00 60.00 60.00
Closest atoms and distances in Å follow each position.
Atoms (fractional coordinates):
Li1 0.0000 0.0000 0.0000  8 Be 2.44
Be1 0.2500 0.2500 0.2500  4 Ag 2.44, 4 Li 2.44
Be2 0.7500 0.7500 0.7500  4 Ag 2.44, 4 Li 2.44
Ag1 0.5000 0.5000 0.5000  8 Be 2.44



The following is a DFT calculation (meta-GGA SCAN) of a PBEsol-optimized structure of Co2HgSe.

Values from the calculation:
The value obtained for the uncorrected formation energy is 0.42 eV/atom. Its distance to the lowest polymorph of the same formula is 34 meV/atom. As for the total energy: -30.294 eV/atom.

a b c (Å): 5.5696 5.5696 5.5696
angles (deg): 38.29 38.29 38.29
Closest atoms and distances in Å follow each position.
Atoms (fractional coordinates):
Co1 0.2219 0.2219 0.2219  3 Se 2.28
Co2 0.7781 0.7781 0.7781  3 Se 2.28
Hg1 0.0000 0.0000 0.0000  6 Co 2.72
Se1 0.5000 0.5000 0.5000  6 Co 2.28



The following is a DFT calculation (meta-GGA SCAN) of a PBEsol-optimized structure of Zr2InP.

Values from the calculation:
Its distance to the lowest polymorph of the same formula is 0 meV/atom. As for the total energy: -27.262 eV/atom.

a b c (Å): 7.8150 7.8150 7.8150
angles (deg): 26.31 26.31 26.31
Closest atoms and distances in Å follow each position.
Atoms (fractional coordinates):
Zr1 0.2315 0.2315 0.2315  3 P 2.52
Zr2 0.7685 0.7685 0.7685  3 P 2.52
In1 0.0000 0.0000 0.0000  6 Zr 3.09
P1 0.5000 0.5000 0.5000  6 Zr 2.52



The following is a DFT calculation (meta-GGA SCAN) of a PBEsol-optimized structure of Sr5Cu.

Values from the calculation:
As for the total energy: -21.057 eV/atom.

a b c (Å): 7.1986 7.1986 9.4947
angles (deg): 101.51 101.51 33.15
Closest atoms and distances in Å follow each position.
Atoms (fractional coordinates):
Sr1 0.0000 0.0000 0.0000  11 Sr 3.95-4.28
Sr2 0.0810 0.0810 0.4245  2 Cu 3.09
Sr3 0.2982 0.2982 0.2115  2 Cu 3.25
Sr4 0.3924 0.3924 0.6264  2 Cu 3.06
Sr5 0.6985 0.6985 0.7969  1 Cu 3.48
Cu1 0.7515 0.7515 0.4546  6 Sr 3.06-3.25